Here is an optimized crystal structure of TmP4 from the Alexandria database. Energies are from PBE.

Summary:
ΔH_f (0 K)	1156.9	meV/atom
magnetization	0.65	Bohr magnetons per cell
electronic total energy	-20.3	eV per cell
space-group type	No. 221

Cell: 5.1447 5.1447 5.1447 Å, 90.00 90.00 90.00°
Sites, in units of the cell vectors:
P1 0.0000 0.0000 0.0000
P2 0.5000 0.0000 0.5000
P3 0.0000 0.5000 0.5000
Tm1 0.5000 0.5000 0.5000
P4 0.5000 0.5000 0.0000

Here is an optimized crystal structure of TmU3P4 from the Alexandria database. Energies are from PBE.

Summary:
ΔH_f (0 K)	-1119.0	meV/atom
magnetization	6.63	Bohr magnetons per cell
electronic total energy	-68.9	eV per cell
space-group type	No. 139

Cell: 5.5603 5.5603 6.8259 Å, 114.03 114.03 90.00°
Sites, in units of the cell vectors:
U1 0.7500 0.2500 0.5000
U2 0.5000 0.5000 0.0000
U3 0.2500 0.7500 0.5000
P1 0.0000 0.5000 0.0000
P2 0.2503 0.2503 0.5005
Tm1 0.0000 0.0000 0.0000
P3 0.5000 0.0000 0.0000
P4 0.7497 0.7497 0.4995

Here is an optimized crystal structure of Tm3UP4 from the Alexandria database. Energies are from PBE.

Summary:
ΔH_f (0 K)	-1444.6	meV/atom
magnetization	2.05	Bohr magnetons per cell
electronic total energy	-57.9	eV per cell
space-group type	No. 65

Cell: 3.9296 6.8193 6.8193 Å, 109.25 90.00 90.00°
Sites, in units of the cell vectors:
P1 0.5000 0.2474 0.7526
U1 0.5000 0.0000 0.0000
P2 0.5000 0.7526 0.2474
Tm1 0.0000 0.5000 0.0000
Tm2 0.5000 0.5000 0.5000
Tm3 0.0000 0.0000 0.5000
P3 0.0000 0.7517 0.7517
P4 0.0000 0.2483 0.2483

Here is an optimized crystal structure of TmU2P4 from the Alexandria database. Energies are from PBE.

Summary:
ΔH_f (0 K)	-796.1	meV/atom
magnetization	5.72	Bohr magnetons per cell
electronic total energy	-108.5	eV per cell
space-group type	No. 63

Cell: 3.9058 6.8537 12.3087 Å, 90.00 90.00 106.56°
Sites, in units of the cell vectors:
P1 0.5000 0.0000 0.5000
P2 0.5000 0.0000 0.0000
Tm1 0.6155 0.2311 0.7500
P3 0.7658 0.5316 0.1266
P4 0.2342 0.4684 0.6266
P5 0.0309 0.0618 0.2500
Tm2 0.3845 0.7689 0.2500
P6 0.9691 0.9382 0.7500
P7 0.2342 0.4684 0.8734
U1 0.8675 0.7350 0.9337
P8 0.7658 0.5316 0.3734
U2 0.1325 0.2650 0.0663
U3 0.1325 0.2650 0.4337
U4 0.8675 0.7350 0.5663